Material: NiAgAs3
Method: DFT, PBEsol
State: relaxed

The structure in CIF format:
```
data_NiAgAs3
_space_group_name_H-M_alt 'P 1'
_space_group_IT_number 1
_cell_length_a 4.853
_cell_length_b 4.853
_cell_length_c 4.853
_cell_angle_alpha 90.00
_cell_angle_beta 90.00
_cell_angle_gamma 90.00
loop_
_space_group_symop_operation_xyz
'x,y,z'
loop_
_atom_site_label
_atom_site_fract_x
_atom_site_fract_y
_atom_site_fract_z
Ni1 0.500 0.500 0.500
As1 0.000 0.500 0.000
As2 0.000 0.000 0.500
As3 0.500 0.000 0.000
Ag1 0.000 0.000 0.000
```

Summary:
* energy: -18.106 eV per cell
* ΔH_f (0 K): 1336 meV/atom
* calculated volume: 22.86 A^3/atom
* total magnetic moment: 0.00 μB per cell